Crystalline SiP2NO at its relaxed geometry. Source: Alexandria via LeMat-Bulk, functional PBE.

Unit cell a=4.002 b=4.002 c=3.594 alpha=90.00 beta=90.00 gamma=90.00
Fractional coordinates of all 5 atoms:
P (0.500, 0.000, 0.000)
Si (0.500, 0.500, 0.500)
P (0.000, 0.500, 0.000)
O (0.000, 0.000, 0.500)
N (0.000, 0.000, 0.000)

Properties
energy above the most stable polymorph in this dataset = 0.145 eV per atom
formation energy (no corrections) = 955 meV per atom